Here is Sr3NbPd after structural relaxation from OQMD via LeMat-Bulk. Energies are from GGA-PBE.

Lattice parameters (Å, degrees): 10.1489 17.6142 5.8117 90.00 90.00 90.00
With the nearest neighbours (Å) after each atom.
Space group Cmcm (No. 63)
Inequivalent atoms, fractional coordinates:
Sr (0.0000, 0.1522, 0.2500) x4  2 Pd 3.05, 1 Nb 3.19
Sr (0.2286, 0.0760, 0.7500) x8  2 Pd 3.05, 1 Nb 3.19
Nb (0.0000, 0.3331, 0.2500) x4  3 Sr 3.19
Pd (0.0000, 0.0000, 0.0000) x4  2 Pd 2.91, 6 Sr 3.05

Computed properties:
* calculated total energy: -3.107 eV per atom


Here is OsI after structural relaxation from OQMD via LeMat-Bulk. Energies are from GGA-PBE.

Lattice parameters (Å, degrees): 5.5062 5.5062 5.5062 90.00 90.00 90.00
With the nearest neighbours (Å) after each atom.
Space group Fm-3m (No. 225)
Inequivalent atoms, fractional coordinates:
Os (0.0000, 0.0000, 0.0000) x4  6 I 2.75
I (0.0000, 0.0000, 0.5000) x4  6 Os 2.75

Computed properties:
* E above lowest polymorph: 0.391 eV/atom


Here is LiHf2Ag after structural relaxation from OQMD via LeMat-Bulk. Energies are from GGA-PBE.

Lattice parameters (Å, degrees): 6.7808 6.7808 6.7808 90.00 90.00 90.00
With the nearest neighbours (Å) after each atom.
Space group F-43m (No. 216)
Inequivalent atoms, fractional coordinates:
Li (0.0000, 0.0000, 0.0000) x4  4 Hf 2.94, 4 Ag 2.94
Hf (0.0000, 0.0000, 0.5000) x4  4 Hf 2.94, 4 Ag 2.94
Hf (0.2500, 0.2500, 0.7500) x4  4 Hf 2.94, 4 Li 2.94
Ag (0.2500, 0.2500, 0.2500) x4  4 Hf 2.94, 4 Li 2.94

Computed properties:
* calculated total energy: -5.761 eV per atom


Here is Mg3Nb6S11 after structural relaxation from OQMD via LeMat-Bulk. Energies are from GGA-PBE.

Lattice parameters (Å, degrees): 7.0923 7.0923 8.9318 90.00 90.00 120.00
With the nearest neighbours (Å) after each atom.
Space group P-3m1 (No. 164)
Inequivalent atoms, fractional coordinates:
Mg (0.0000, 0.0000, 0.0000) x1  6 S 2.54
Mg (0.3333, 0.6667, 0.0537) x2  4 S 2.40-2.43
Nb (0.1449, 0.2897, 0.6379) x6  5 S 2.47-2.66
S (0.0000, 0.5000, 0.5000) x3  4 Nb 2.52
S (0.1588, 0.3177, 0.1816) x6  2 Mg 2.43-2.54, 2 Nb 2.47
S (0.3333, 0.6667, 0.7851) x2  1 Mg 2.40, 3 Nb 2.66

Computed properties:
* calculated total energy: -6.559 eV per atom


Here is Y2HoFe9 after structural relaxation from OQMD via LeMat-Bulk. Energies are from GGA-PBE.

Lattice parameters (Å, degrees): 5.0516 5.0516 24.1193 90.00 90.00 120.00
With the nearest neighbours (Å) after each atom.
Space group R-3m (No. 166, hexagonal axes)
Inequivalent atoms, fractional coordinates:
Y (0.0000, 0.0000, 0.1418) x6  12 Fe 2.92-3.04, 3 Y 3.15
Ho (0.0000, 0.0000, 0.0000) x3  18 Fe 2.92-3.19
Fe (0.0000, 0.0000, 0.3327) x6  6 Fe 2.43-2.45
Fe (0.0000, 0.0000, 0.5000) x3  6 Fe 2.53
Fe (0.0008, 0.5004, 0.0810) x18  7 Fe 2.43-2.53

Computed properties:
* calculated total energy: -7.756 eV per atom


Here is PaTeNO after structural relaxation from OQMD via LeMat-Bulk. Energies are from GGA-PBE.

Lattice parameters (Å, degrees): 5.6981 8.8898 5.7143 90.00 90.00 90.00
With the nearest neighbours (Å) after each atom.
Space group Pca2_1 (No. 29)
Inequivalent atoms, fractional coordinates:
Pa (0.0269, 0.1454, 0.0000) x4  2 N 2.29-2.33, 4 O 2.33-2.45
Te (0.0440, 0.6096, 0.0358) x4  1 N 2.01
N (0.1717, 0.2738, 0.3254) x4  1 Te 2.01
O (0.2445, 0.9760, 0.7411) x4  4 Pa 2.33-2.45

Computed properties:
* E above lowest polymorph: 0.000 eV/atom


Here is ThTcPt after structural relaxation from OQMD via LeMat-Bulk. Energies are from GGA-PBE.

Lattice parameters (Å, degrees): 6.5785 6.5785 6.5785 90.00 90.00 90.00
With the nearest neighbours (Å) after each atom.
Space group F-43m (No. 216)
Inequivalent atoms, fractional coordinates:
Th (0.0000, 0.0000, 0.0000) x4  4 Pt 2.85
Tc (0.0000, 0.0000, 0.5000) x4  4 Pt 2.85
Pt (0.2500, 0.2500, 0.7500) x4  4 Tc 2.85, 4 Th 2.85

Computed properties:
* calculated total energy: -7.899 eV per atom


Here is GdYPO after structural relaxation from OQMD via LeMat-Bulk. Energies are from GGA-PBE.

Lattice parameters (Å, degrees): 4.3375 4.3375 8.5957 90.00 90.00 90.00
With the nearest neighbours (Å) after each atom.
Space group P4/nmm (No. 129, origin choice 2)
Inequivalent atoms, fractional coordinates:
Gd (0.2500, 0.2500, 0.1044) x2  4 O 2.35
Y (0.2500, 0.7500, 0.5000) x2  4 P 2.74, 4 Y 3.07
P (0.2500, 0.2500, 0.6955) x2  4 Y 2.74
O (0.2500, 0.7500, 0.0000) x2  4 Gd 2.35

Computed properties:
* E above lowest polymorph: 0.089 eV/atom


Here is GdHoGe2 after structural relaxation from OQMD via LeMat-Bulk. Energies are from GGA-PBE.

Lattice parameters (Å, degrees): 3.2554 5.8583 11.5154 90.00 90.00 90.00
With the nearest neighbours (Å) after each atom.
Space group Amm2 (No. 38)
Inequivalent atoms, fractional coordinates:
Gd (0.0000, 0.0000, 0.0000) x2  3 Ge 2.82-2.97
Ho (0.0000, 0.0000, 0.2991) x2  3 Ge 2.79-2.97
Ge (0.0000, 0.0000, 0.5417) x2  1 Ge 2.46
Ge (0.0000, 0.0000, 0.7549) x2  1 Ge 2.46

Computed properties:
* E above lowest polymorph: 0.626 eV/atom


Here is CoNiBiW after structural relaxation from OQMD via LeMat-Bulk. Energies are from GGA-PBE.

Lattice parameters (Å, degrees): 6.2922 6.2922 6.2922 90.00 90.00 90.00
With the nearest neighbours (Å) after each atom.
Space group F-43m (No. 216)
Inequivalent atoms, fractional coordinates:
Co (0.0000, 0.0000, 0.0000) x4  4 Ni 2.72, 4 Bi 2.72
Ni (0.2500, 0.2500, 0.2500) x4  4 W 2.72, 4 Co 2.72
Bi (0.2500, 0.2500, 0.7500) x4  4 W 2.72, 4 Co 2.72
W (0.0000, 0.0000, 0.5000) x4  4 Bi 2.72, 4 Ni 2.72

Computed properties:
* E above lowest polymorph: 0.090 eV/atom


Here is TbNd4Tc2 after structural relaxation from OQMD via LeMat-Bulk. Energies are from GGA-PBE.

Lattice parameters (Å, degrees): 9.6727 11.4777 3.4654 90.00 90.00 90.00
With the nearest neighbours (Å) after each atom.
Space group Cmmm (No. 65)
Inequivalent atoms, fractional coordinates:
Tb (0.0000, 0.0000, 0.0000) x2  6 Nd 3.19-3.40, 2 Tb 3.47
Nd (0.0000, 0.2776, 0.0000) x4  4 Tc 2.99, 1 Tb 3.19
Nd (0.1976, 0.5000, 0.5000) x4  2 Tc 2.91
Tc (0.2500, 0.2500, 0.5000) x4  6 Nd 2.91-2.99

Computed properties:
* calculated total energy: -5.898 eV per atom


Here is DyYCSe after structural relaxation from OQMD via LeMat-Bulk. Energies are from GGA-PBE.

Lattice parameters (Å, degrees): 3.7621 3.7621 13.2975 90.00 90.00 120.00
With the nearest neighbours (Å) after each atom.
Space group P-6m2 (No. 187)
Inequivalent atoms, fractional coordinates:
Dy (0.0000, 0.0000, 0.1498) x2  3 C 2.55
Y (0.6667, 0.3333, 0.3503) x2  3 C 2.55
C (0.3333, 0.6667, 0.2499) x2  3 Dy 2.55, 3 Y 2.55
Se (0.0000, 0.0000, 0.5000) x1  6 Y 2.95
Se (0.6667, 0.3333, 0.0000) x1  6 Dy 2.95

Computed properties:
* calculated total energy: -7.098 eV per atom


Here is Pr4CBrF4 after structural relaxation from OQMD via LeMat-Bulk. Energies are from GGA-PBE.

Lattice parameters (Å, degrees): 14.9949 3.8376 8.3146 90.00 123.64 90.00
With the nearest neighbours (Å) after each atom.
Space group C2/m (No. 12)
Inequivalent atoms, fractional coordinates:
Pr (0.0161, 0.0000, 0.2200) x4  2 F 2.49-2.54, 2 C 2.57
Pr (0.1956, 0.5000, 0.1663) x4  5 F 2.42-2.57, 1 C 2.45
C (0.0000, 0.5000, 0.0000) x2  6 Pr 2.45-2.57
Br (0.0000, 0.5000, 0.5000) x2  4 Pr 3.13
F (0.1827, 0.0000, 0.9620) x4  4 Pr 2.49-2.57, 2 F 2.60
F (0.2158, 0.0000, 0.3606) x4  3 Pr 2.42-2.54

Computed properties:
* calculated total energy: -6.137 eV per atom


Here is DyScGa2Co4 after structural relaxation from OQMD via LeMat-Bulk. Energies are from GGA-PBE.

Lattice parameters (Å, degrees): 4.1053 4.1053 8.3943 90.00 90.00 120.00
With the nearest neighbours (Å) after each atom.
Space group P-6m2 (No. 187)
Inequivalent atoms, fractional coordinates:
Dy (0.0000, 0.0000, 0.0000) x1  8 Co 2.87-2.89
Sc (0.6667, 0.3333, 0.5000) x1  8 Co 2.54-2.72
Ga (0.3333, 0.6667, 0.2632) x2  6 Co 2.43-2.46
Co (0.0000, 0.0000, 0.3416) x2  3 Ga 2.46, 4 Co 2.66, 3 Sc 2.72
Co (0.6667, 0.3333, 0.1975) x2  3 Ga 2.43, 1 Sc 2.54, 3 Co 2.66

Computed properties:
* calculated total energy: -5.965 eV per atom


Here is SmAs after structural relaxation from OQMD via LeMat-Bulk. Energies are from GGA-PBE.

Lattice parameters (Å, degrees): 6.3520 5.7035 5.6476 90.00 90.00 90.00
With the nearest neighbours (Å) after each atom.
Space group Pmma (No. 51)
Inequivalent atoms, fractional coordinates:
Sm (0.0000, 0.0000, 0.0000) x2  8 As 3.16-3.37, 2 Sm 3.18
Sm (0.2500, 0.5000, 0.3489) x2  4 As 2.80-2.95
As (0.2500, 0.0000, 0.4835) x2  4 Sm 2.95-3.16, 2 As 3.18
As (0.2500, 0.5000, 0.8531) x2  2 Sm 2.80-2.85

Computed properties:
* calculated total energy: -5.594 eV per atom


Here is CsLiZrSe3 after structural relaxation from OQMD via LeMat-Bulk. Energies are from GGA-PBE.

Lattice parameters (Å, degrees): 16.1151 4.0326 10.7847 90.00 90.00 90.00
With the nearest neighbours (Å) after each atom.
Space group Pnma (No. 62)
Inequivalent atoms, fractional coordinates:
Cs (0.2311, 0.2500, 0.0311) x4  7 Se 3.60-3.74, 2 Cs 4.03
Li (0.0144, 0.7500, 0.0921) x4  4 Se 2.52-2.59
Zr (0.0124, 0.2500, 0.3345) x4  6 Se 2.62-2.79
Se (0.0754, 0.7500, 0.8699) x4  3 Li 2.52-2.59, 1 Zr 2.62
Se (0.0854, 0.2500, 0.5695) x4  3 Zr 2.76-2.79
Se (0.1184, 0.7500, 0.2675) x4  1 Li 2.53, 2 Zr 2.74

Computed properties:
* E above lowest polymorph: 0.000 eV/atom


Here is Li2NiH6Os after structural relaxation from OQMD via LeMat-Bulk. Energies are from GGA-PBE.

Lattice parameters (Å, degrees): 6.6450 6.6450 6.6450 90.00 90.00 90.00
With the nearest neighbours (Å) after each atom.
Space group Fm-3m (No. 225)
Inequivalent atoms, fractional coordinates:
Li (0.2500, 0.2500, 0.2500) x8  12 H 2.35
Ni (0.0000, 0.0000, 0.0000) x4  6 H 1.61
H (0.0000, 0.0000, 0.2422) x24  1 Ni 1.61, 1 Os 1.71
Os (0.0000, 0.0000, 0.5000) x4  6 H 1.71

Computed properties:
* calculated total energy: -4.175 eV per atom


Here is Er5Tm3 after structural relaxation from OQMD via LeMat-Bulk. Energies are from GGA-PBE.

Lattice parameters (Å, degrees): 7.1198 7.1198 5.5192 90.00 90.00 120.00
With the nearest neighbours (Å) after each atom.
Space group P-6m2 (No. 187)
Inequivalent atoms, fractional coordinates:
Er (0.0000, 0.0000, 0.0000) x1  6 Tm 3.44, 6 Er 3.56
Er (0.0003, 0.5001, 0.0000) x3  4 Tm 3.44, 8 Er 3.44-3.56
Er (0.6667, 0.3333, 0.5000) x1  6 Er 3.44, 6 Tm 3.56
Tm (0.1669, 0.3338, 0.5000) x3  8 Er 3.44-3.56, 4 Tm 3.56

Computed properties:
* calculated total energy: -4.530 eV per atom


Here is SrNdU after structural relaxation from OQMD via LeMat-Bulk. Energies are from GGA-PBE.

Lattice parameters (Å, degrees): 7.8596 7.8596 7.8596 90.00 90.00 90.00
With the nearest neighbours (Å) after each atom.
Space group F-43m (No. 216)
Inequivalent atoms, fractional coordinates:
Sr (0.0000, 0.0000, 0.0000) x4  4 Nd 3.40
Nd (0.2500, 0.2500, 0.7500) x4  4 U 3.40, 4 Sr 3.40
U (0.0000, 0.0000, 0.5000) x4  4 Nd 3.40

Computed properties:
* E above lowest polymorph: 0.000 eV/atom


Here is PrGePt2 after structural relaxation from OQMD via LeMat-Bulk. Energies are from GGA-PBE.

Lattice parameters (Å, degrees): 4.3400 6.0251 6.9044 90.00 90.00 90.00
With the nearest neighbours (Å) after each atom.
Space group Pmc2_1 (No. 26)
Inequivalent atoms, fractional coordinates:
Pr (0.0000, 0.2100, 0.0000) x2  7 Pt 2.90-3.19
Ge (0.5000, 0.2994, 0.3951) x2  4 Pt 2.47-2.63
Pt (0.0000, 0.3145, 0.5646) x2  2 Ge 2.47
Pt (0.5000, 0.0582, 0.7123) x2  2 Ge 2.50-2.63

Computed properties:
* calculated total energy: -6.144 eV per atom


Here is HoTmInFe2 after structural relaxation from OQMD via LeMat-Bulk. Energies are from GGA-PBE.

Lattice parameters (Å, degrees): 3.9327 3.7546 13.6442 90.00 90.00 90.00
With the nearest neighbours (Å) after each atom.
Space group Amm2 (No. 38)
Inequivalent atoms, fractional coordinates:
Ho (0.0000, 0.0000, 0.0000) x2  6 Fe 2.87-2.89
Tm (0.0000, 0.0000, 0.7225) x2  6 Fe 2.85-2.88
In (0.5000, 0.0000, 0.3608) x2  2 Fe 2.83-2.87
Fe (0.5000, 0.0000, 0.1534) x2  2 Fe 2.19
Fe (0.5000, 0.0000, 0.5709) x2  2 Fe 2.19

Computed properties:
* calculated total energy: -5.901 eV per atom


Here is CuBiIrPt after structural relaxation from OQMD via LeMat-Bulk. Energies are from GGA-PBE.

Lattice parameters (Å, degrees): 6.4966 6.4966 6.4966 90.00 90.00 90.00
With the nearest neighbours (Å) after each atom.
Space group F-43m (No. 216)
Inequivalent atoms, fractional coordinates:
Cu (0.0000, 0.0000, 0.0000) x4  4 Bi 2.81, 4 Pt 2.81
Bi (0.2500, 0.2500, 0.7500) x4  4 Ir 2.81, 4 Cu 2.81
Ir (0.0000, 0.0000, 0.5000) x4  4 Bi 2.81, 4 Pt 2.81
Pt (0.2500, 0.2500, 0.2500) x4  4 Cu 2.81, 4 Ir 2.81

Computed properties:
* E above lowest polymorph: 0.000 eV/atom


Here is HfFeCo after structural relaxation from OQMD via LeMat-Bulk. Energies are from GGA-PBE.

Lattice parameters (Å, degrees): 5.7900 5.7900 5.7900 90.00 90.00 90.00
With the nearest neighbours (Å) after each atom.
Space group F-43m (No. 216)
Inequivalent atoms, fractional coordinates:
Hf (0.0000, 0.0000, 0.0000) x4  4 Co 2.51
Fe (0.0000, 0.0000, 0.5000) x4  4 Co 2.51
Co (0.2500, 0.2500, 0.7500) x4  4 Hf 2.51, 4 Fe 2.51

Computed properties:
* E above lowest polymorph: 0.000 eV/atom